Crystalline K3DyV2O8 at its relaxed geometry, computed with GGA+U.

Total energy: -6.7940 eV per atom
Spin magnetization: 0.0 μB/f.u.
DOS at the Fermi energy: 0.0 states/eV/cell

Lattice parameters (Å, degrees): 6.012 6.012 7.684 90.00 90.00 120.00
Fractional coordinates of all 14 atoms:
O  0.349  0.174  0.676
O  0.826  0.651  0.676
O  0.174  0.349  0.324
O  0.667  0.333  0.975
O  0.826  0.174  0.676
O  0.651  0.826  0.324
O  0.333  0.667  0.025
O  0.174  0.826  0.324
K  0.667  0.333  0.311
K  0.000  0.000  0.000
K  0.333  0.667  0.689
V  0.333  0.667  0.244
V  0.667  0.333  0.756
Dy  0.000  0.000  0.500